(1)
A plane-wave DFT calculation with PBE was carried out for a relaxed Ti2CoReI crystal.

Lattice parameters (Å, degrees): 4.4743 4.4743 4.5829 90.00 90.00 90.00
With the nearest neighbours (Å) after each atom.
Space group P4/mmm (No. 123)
One atom of each set of equivalent atoms:
Ti 0.0000 0.5000 0.0000 x2  2 Co 2.24
Co 0.0000 0.0000 0.0000 x1  4 Ti 2.24, 2 I 2.29
Re 0.5000 0.5000 0.5000 x1  4 I 3.16, 8 Ti 3.20
I 0.0000 0.0000 0.5000 x1  2 Co 2.29

Values from the calculation:
- uncorrected energy (eV per formula unit) = -31.1
- theoretical density (g cm⁻³) = 8.47
- E_form (uncorrected) (kJ/mol of formula units) = 558



(2)
A plane-wave DFT calculation with PBE was carried out for a relaxed TcSnP crystal.

Lattice parameters (Å, degrees): 6.1875 3.1429 6.7247 90.00 114.67 90.00
With the nearest neighbours (Å) after each atom.
Space group P2_1/m (No. 11)
One atom of each set of equivalent atoms:
Tc 0.0195 0.2500 0.1823 x2  3 P 2.33-2.35
Sn 0.2452 0.2500 0.6462 x2  1 P 2.60, 3 Tc 2.84
P 0.2920 0.7500 0.1703 x2  3 Tc 2.33-2.35, 1 Sn 2.60

Values from the calculation:
- energy relative to the elements (meV/atom) = -275
- uncorrected energy (eV per formula unit) = -20.6
- theoretical density (g cm⁻³) = 6.92
- ΔE to the lowest computed polymorph (eV per formula unit) = 0.02



(3)
A plane-wave DFT calculation with PBE was carried out for a relaxed Th2Co12Si3Ni crystal.

Lattice parameters (Å, degrees): 6.0161 6.0161 24.7540 90.00 90.00 120.00
With the nearest neighbours (Å) after each atom.
Space group R-3m (No. 166, hexagonal axes)
One atom of each set of equivalent atoms:
Th 0.0000 0.0000 0.1536 x6  6 Co 2.96-2.97
Co 0.0564 0.5282 0.0930 x18  1 Si 2.32, 1 Ni 2.33, 4 Co 2.34-2.50
Co 0.0643 0.5322 0.6190 x18  2 Si 2.26, 4 Co 2.34-2.43
Si 0.0000 0.5000 0.0000 x9  6 Co 2.26-2.32
Ni 0.0000 0.0000 0.5000 x3  6 Co 2.33

Values from the calculation:
- uncorrected energy (eV per formula unit) = -120.4
- theoretical density (g cm⁻³) = 8.44
- E_form (uncorrected) (kJ/mol of formula units) = 170



(4)
A plane-wave DFT calculation with PBE was carried out for a relaxed BC3 crystal.

Lattice parameters (Å, degrees): 2.5043 2.5043 11.8886 90.00 90.00 90.00
With the nearest neighbours (Å) after each atom.
Space group P-4m2 (No. 115)
One atom of each set of equivalent atoms:
B 0.0000 0.0000 0.0000 x1  4 B 1.83
B 0.0000 0.5000 0.8876 x2  2 C 1.62
C 0.0000 0.0000 0.3497 x2  4 C 1.54-1.55
C 0.0000 0.5000 0.2724 x2  4 C 1.53-1.55
C 0.0000 0.5000 0.5756 x2  4 C 1.54
C 0.5000 0.5000 0.1991 x2  2 C 1.53, 2 B 1.62
C 0.5000 0.5000 0.5000 x1  4 C 1.54

Values from the calculation:
- energy relative to the elements (meV/atom) = 255
- uncorrected energy (eV per formula unit) = -33.3
- theoretical density (g cm⁻³) = 3.13
- ΔE to the lowest computed polymorph (eV per formula unit) = 0.06



In the order shown, the computed total magnetic moment values come out to 0.1, 0.0, 12.0, 0.0 μB/f.u..